(1)
The following is a DFT calculation (PBE) of a geometry-optimized BeZnAg3 structure.

POSCAR file:
```
BeZnAg3
1.0
4.7813 0.0000 0.0000
0.0000 4.7813 0.0000
0.0000 0.0000 4.7813
Be Zn Ag
1 1 3
Direct
0.5000 0.5000 0.5000
0.0000 0.0000 0.0000
0.0000 0.5000 0.0000
0.0000 0.0000 0.5000
0.5000 0.0000 0.0000
```

Output
- ΔH_f (0 K): 0.942 eV per atom
- Polymorph energy (0 for the lowest one): 540 meV/atom


(2)
The following is a DFT calculation (PBE) of a geometry-optimized Be2ZnAg structure.

POSCAR file:
```
Be2ZnAg
1.0
3.8679 0.0000 0.0000
0.0000 2.6735 0.0225
0.0000 1.3701 4.7409
Be Zn Ag
2 1 1
Direct
0.0000 0.1806 0.0075
0.5000 0.0633 0.2520
0.0000 0.4620 0.4435
0.5000 0.7941 0.7970
```

Output
- ΔH_f (0 K): 0.174 eV per atom


(3)
The following is a DFT calculation (PBE) of a geometry-optimized BeZnAg3 structure.

POSCAR file:
```
BeZnAg3
1.0
-4.2448 -0.1274 -1.2713
-0.7214 -3.4017 2.7494
-1.0546 2.8396 3.2366
Be Zn Ag
1 1 3
Direct
0.0000 0.0000 0.0000
0.5000 0.5000 0.5000
0.0000 0.5000 0.0000
0.0000 0.0000 0.5000
0.5000 0.0000 0.0000
```

Output
- ΔH_f (0 K): 0.403 eV per atom
- Polymorph energy (0 for the lowest one): 0 meV/atom